Computed, not measured: an optimized crystal structure of TmHg2Bi at the PBE-GGA level of DFT.

ΔH_f (0 K) = 0.111 eV/atom
density = 10.8 g/cm3
N(E_F) = 2.407 states/eV/cell

Cell lengths 3.452, 3.452, 11.747 Å; angles 81.55, 81.55, 60.00 degrees
Positions (direct):
Tm (0.000, 0.000, 0.000)
Bi (0.500, 0.500, 0.500)
Hg (0.086, 0.086, 0.742)
Hg (0.914, 0.914, 0.258)